Entry 1:
# TlIn2Br, optimized geometry, DFT PBE
# - uncorrected formation energy (eV per formula unit) = -0.8
# - uncorrected energy (eV per atom) = -2.5894
data_TlIn2Br
_chemical_formula_sum 'Tl2 In4 Br2'
_symmetry_space_group_name_H-M 'I m m m'
_symmetry_Int_Tables_number 71
_symmetry_space_group_name_Hall '-I 2 2'
_cell_length_a 3.710
_cell_length_b 5.547
_cell_length_c 11.564
_cell_angle_alpha 90.00
_cell_angle_beta 90.00
_cell_angle_gamma 90.00
loop_
_atom_site_label
_atom_site_fract_x
_atom_site_fract_y
_atom_site_fract_z
Tl1 0.000 0.000 0.000
In1 0.000 0.500 0.248
Br1 0.000 0.000 0.500

***

Entry 2:
# CsLa2Tl2, optimized geometry, DFT PBE
# - uncorrected energy (eV per atom) = -3.2654
# - DFT formation energy (meV/atom) = -177.2
data_CsLa2Tl2
_chemical_formula_sum 'Cs2 La4 Tl4'
_symmetry_space_group_name_H-M 'P 4/m b m'
_symmetry_Int_Tables_number 127
_symmetry_space_group_name_Hall '-P 4 2ab'
_cell_length_a 10.038
_cell_length_b 10.038
_cell_length_c 3.593
_cell_angle_alpha 90.00
_cell_angle_beta 90.00
_cell_angle_gamma 90.00
loop_
_atom_site_label
_atom_site_fract_x
_atom_site_fract_y
_atom_site_fract_z
Cs1 0.000 0.000 0.000
La1 0.123 0.377 0.000
Tl1 0.173 0.673 0.500

***

Which value of uncorrected energy does entry 2 give? -3.2654 eV per atom

***

What is the uncorrected energy in the second record? -3.2654 eV per atom

***

What is the uncorrected energy in the first record? -2.5894 eV per atom

***

Repeat the first record exactly.
# TlIn2Br, optimized geometry, DFT PBE
# - uncorrected formation energy (eV per formula unit) = -0.8
# - uncorrected energy (eV per atom) = -2.5894
data_TlIn2Br
_chemical_formula_sum 'Tl2 In4 Br2'
_symmetry_space_group_name_H-M 'I m m m'
_symmetry_Int_Tables_number 71
_symmetry_space_group_name_Hall '-I 2 2'
_cell_length_a 3.710
_cell_length_b 5.547
_cell_length_c 11.564
_cell_angle_alpha 90.00
_cell_angle_beta 90.00
_cell_angle_gamma 90.00
loop_
_atom_site_label
_atom_site_fract_x
_atom_site_fract_y
_atom_site_fract_z
Tl1 0.000 0.000 0.000
In1 0.000 0.500 0.248
Br1 0.000 0.000 0.500